DFT (SCAN) results for ReWCl2 at its PBEsol-relaxed geometry.

Unit cell a=4.3183 b=4.3183 c=3.0129 alpha=90.00 beta=90.00 gamma=90.00
With the nearest neighbours (Å) after each atom.
Space group P4/mmm (No. 123)
Asymmetric unit:
Re: 0.0000 0.0000 0.0000 (multiplicity 1)  8 Cl 2.63
W: 0.5000 0.5000 0.0000 (multiplicity 1)  8 Cl 2.63
Cl: 0.0000 0.5000 0.5000 (multiplicity 2)  4 W 2.63, 4 Re 2.63

## Properties
DFT total energy = -37.3522 eV per atom
Total magnetic moment = 0.000 μB per atom
Crystal system = tetragonal
Excess energy over the best structure of this formula in the dataset = 2057.4 meV/atom
Raw formation energy = 1.833 eV/atom